[1]
TiV2Tc4 | PBE-GGA | optimized geometry

Values from the calculation:
* N(E_F): 0.805 states/eV/atom
* magnetic moment: 1.68 μB per cell
* DFT total energy: -8.668 eV per atom
* E_form: 95.4 kJ per mole of atoms
* ΔE to the lowest computed polymorph: 6.093 eV per formula unit

Unit cell a=4.4443 b=4.4443 c=12.2417 alpha=90.00 beta=90.00 gamma=90.00
Last column: nearest neighbours and their distance in Å.
Space group I4/mmm (No. 139)
One atom of each set of equivalent atoms:
Ti1 0.0000 0.0000 0.0000  6 Tc 2.22-2.42
V1 0.0000 0.0000 0.3740  1 Tc 2.16
Tc1 0.0000 0.0000 0.1977  1 V 2.16
Tc2 0.0000 0.5000 0.0000  2 Ti 2.22

[2]
Ti2VTc2 | PBE-GGA | optimized geometry

Values from the calculation:
* N(E_F): 1.243 states/eV/atom
* magnetic moment: 3.65 μB per cell
* DFT total energy: -8.660 eV per atom
* E_form: 45.2 kJ per mole of atoms
* ΔE to the lowest computed polymorph: 2.132 eV per formula unit

Unit cell a=3.4614 b=3.4614 c=14.3507 alpha=90.00 beta=90.00 gamma=90.00
Last column: nearest neighbours and their distance in Å.
Space group I4/mmm (No. 139)
One atom of each set of equivalent atoms:
Ti1 0.0000 0.0000 0.0969  1 Ti 2.78, 4 Tc 2.80, 4 V 2.81
V1 0.0000 0.0000 0.5000  8 Ti 2.81
Tc1 0.0000 0.5000 0.2500  4 Tc 2.45

[3]
TiV2Tc3 | PBE-GGA | optimized geometry

Values from the calculation:
* N(E_F): 0.662 states/eV/atom
* magnetic moment: 0.00 μB per cell
* DFT total energy: -9.967 eV per atom
* E_form: -41.3 kJ per mole of atoms

Unit cell a=3.0499 b=3.0499 c=9.1737 alpha=90.00 beta=90.00 gamma=90.00
Last column: nearest neighbours and their distance in Å.
Space group P4/mmm (No. 123)
One atom of each set of equivalent atoms:
Ti1 0.0000 0.0000 0.0000  8 Tc 2.68
V1 0.0000 0.0000 0.3344  8 Tc 2.61-2.64
Tc1 0.5000 0.5000 0.1738  4 V 2.61, 4 Ti 2.68
Tc2 0.5000 0.5000 0.5000  8 V 2.64

[4]
Ti12V5Tc3 | PBE-GGA | optimized geometry

Values from the calculation:
* N(E_F): 1.458 states/eV/atom
* magnetic moment: 81.30 μB per cell
* DFT total energy: -7.583 eV per atom
* E_form: 95.4 kJ per mole of atoms

Unit cell a=14.7279 b=14.7279 c=14.7279 alpha=90.00 beta=90.00 gamma=90.00
Last column: nearest neighbours and their distance in Å.
Space group Ia-3d (No. 230)
One atom of each set of equivalent atoms:
Ti1 0.0146 0.0845 0.6432  2 V 2.46-2.58, 1 Tc 2.46
V1 0.0000 0.0000 0.0000  6 Ti 2.46
V2 0.0000 0.2500 0.3750  4 Ti 2.58
Tc1 0.0000 0.2500 0.1250  4 Ti 2.46

[5]
TiV2Tc4 | PBE-GGA | optimized geometry

Values from the calculation:
* N(E_F): 1.344 states/eV/atom
* magnetic moment: 0.01 μB per cell
* DFT total energy: -9.539 eV per atom
* E_form: 11.4 kJ per mole of atoms
* ΔE to the lowest computed polymorph: 0.000 eV per formula unit

Unit cell a=6.0395 b=6.0395 c=5.9015 alpha=90.00 beta=90.00 gamma=90.00
Last column: nearest neighbours and their distance in Å.
Space group I4/mmm (No. 139)
One atom of each set of equivalent atoms:
Ti1 0.0000 0.0000 0.0000  8 Tc 2.60
V1 0.0000 0.5000 0.0000  8 Tc 2.60
Tc1 0.2500 0.2500 0.2500  2 Ti 2.60, 4 V 2.60

[6]
Ti4V2Tc | PBE-GGA | optimized geometry

Values from the calculation:
* N(E_F): 1.046 states/eV/atom
* magnetic moment: 0.01 μB per cell
* DFT total energy: -7.828 eV per atom
* E_form: 74.2 kJ per mole of atoms

Unit cell a=4.6186 b=4.6186 c=12.0743 alpha=90.00 beta=90.00 gamma=90.00
Last column: nearest neighbours and their distance in Å.
Space group I4/mmm (No. 139)
One atom of each set of equivalent atoms:
Ti1 0.0000 0.0000 0.2064  1 V 2.07
Ti2 0.0000 0.5000 0.0000  2 Tc 2.31
V1 0.0000 0.0000 0.3783  1 Ti 2.07
Tc1 0.0000 0.0000 0.0000  6 Ti 2.31-2.49

[7]
Ti2V3Tc2 | PBE-GGA | optimized geometry

Values from the calculation:
* N(E_F): 1.276 states/eV/atom
* magnetic moment: 0.00 μB per cell
* DFT total energy: -9.378 eV per atom
* E_form: -24.3 kJ per mole of atoms

Unit cell a=9.3674 b=4.2556 c=5.1077 alpha=90.00 beta=96.03 gamma=90.00
Last column: nearest neighbours and their distance in Å.
Space group C2/m (No. 12)
One atom of each set of equivalent atoms:
Ti1 0.0771 0.0000 0.2795  4 V 2.62-2.79, 3 Tc 2.66, 1 Ti 2.80
V1 0.0000 0.5000 0.0000  4 Ti 2.62, 2 Tc 2.62, 2 V 2.66
V2 0.2199 0.0000 0.8439  3 Tc 2.58-2.65, 3 V 2.66-2.68, 2 Ti 2.71-2.79
Tc1 0.1411 0.5000 0.5824  4 V 2.58-2.65, 3 Ti 2.66, 1 Tc 2.69

[8]
TiVTc3 | PBE-GGA | optimized geometry

Values from the calculation:
* N(E_F): 1.113 states/eV/atom
* magnetic moment: 0.00 μB per cell
* DFT total energy: -8.750 eV per atom
* E_form: 84.1 kJ per mole of atoms
* ΔE to the lowest computed polymorph: 0.000 eV per formula unit

Unit cell a=4.4331 b=4.4331 c=4.4331 alpha=90.00 beta=90.00 gamma=90.00
Last column: nearest neighbours and their distance in Å.
Space group Pm-3m (No. 221)
One atom of each set of equivalent atoms:
Ti1 0.0000 0.0000 0.0000  12 Tc 3.13
V1 0.5000 0.5000 0.5000  6 Tc 2.22
Tc1 0.0000 0.5000 0.5000  2 V 2.22